1.
Entry from OQMD via LeMat-Bulk: a relaxed Ag2Pd2O5 crystal (PBE-GGA).

calculated density = 7.18 g cm⁻³
V = 13.06 Å³/atom
crystal system = tetragonal
total DFT energy (no corrections) = -0.165 hartree per atom
SG = P4/mmm (123)

a = 3.848 Å, b = 3.848 Å, c = 7.939 Å
α = 90.00°, β = 90.00°, γ = 90.00°
Atoms (fractional coordinates):
Ag 0.000 0.000 0.000
Ag 0.000 0.000 0.500
Pd 0.500 0.500 0.242
Pd 0.500 0.500 0.758
O 0.000 0.500 0.180
O 0.000 0.500 0.820
O 0.500 0.000 0.180
O 0.500 0.000 0.820
O 0.500 0.500 0.500

---

2.
Entry from OQMD via LeMat-Bulk: a relaxed K2LiZrCl6 crystal (PBE-GGA).

calculated density = 2.50 g cm⁻³
V = 25.89 Å³/atom
crystal system = trigonal
total DFT energy (no corrections) = -0.153 hartree per atom
SG = R-3m (166)

a = 12.544 Å, b = 12.544 Å, c = 12.544 Å
α = 32.89°, β = 32.89°, γ = 32.89°
Atoms (fractional coordinates):
K 0.126 0.126 0.126
K 0.292 0.292 0.292
K 0.708 0.708 0.708
K 0.874 0.874 0.874
Li 0.414 0.414 0.414
Li 0.586 0.586 0.586
Zr 0.000 0.000 0.000
Zr 0.500 0.500 0.500
Cl 0.122 0.626 0.626
Cl 0.209 0.209 0.706
Cl 0.209 0.706 0.209
Cl 0.294 0.791 0.791
Cl 0.374 0.374 0.878
Cl 0.374 0.878 0.374
Cl 0.626 0.122 0.626
Cl 0.626 0.626 0.122
Cl 0.706 0.209 0.209
Cl 0.791 0.294 0.791
Cl 0.791 0.791 0.294
Cl 0.878 0.374 0.374

---

3.
Entry from OQMD via LeMat-Bulk: a relaxed TmAgGe crystal (PBE-GGA).

calculated density = 9.52 g cm⁻³
V = 20.32 Å³/atom
crystal system = hexagonal
total DFT energy (no corrections) = -0.169 hartree per atom
SG = P-62m (189)

a = 7.105 Å, b = 7.105 Å, c = 4.183 Å
α = 90.00°, β = 90.00°, γ = 120.00°
Atoms (fractional coordinates):
Tm 0.000 0.582 0.000
Tm 0.418 0.418 0.000
Tm 0.582 0.000 0.000
Ag 0.000 0.251 0.500
Ag 0.251 0.000 0.500
Ag 0.749 0.749 0.500
Ge 0.000 0.000 0.000
Ge 0.333 0.667 0.500
Ge 0.667 0.333 0.500

---

4.
Entry from OQMD via LeMat-Bulk: a relaxed Sr3Cd2O5 crystal (PBE-GGA).

calculated density = 6.12 g cm⁻³
V = 15.41 Å³/atom
crystal system = orthorhombic
SG = Cmmm (65)
polymorph energy (0 for the lowest one) = 0.54 eV per formula unit

a = 10.916 Å, b = 10.916 Å, c = 3.268 Å
α = 90.00°, β = 90.00°, γ = 156.69°
Atoms (fractional coordinates):
Sr 0.000 0.000 0.000
Sr 0.194 0.806 0.000
Sr 0.806 0.194 0.000
Cd 0.398 0.602 0.500
Cd 0.602 0.398 0.500
O 0.099 0.901 0.500
O 0.296 0.704 0.500
O 0.500 0.500 0.500
O 0.704 0.296 0.500
O 0.901 0.099 0.500

---

5.
Entry from OQMD via LeMat-Bulk: a relaxed BaSrIr2N2 crystal (PBE-GGA).

calculated density = 8.88 g cm⁻³
V = 19.88 Å³/atom
crystal system = tetragonal
total DFT energy (no corrections) = -0.252 hartree per atom
SG = P-4m2 (115)

a = 3.789 Å, b = 3.789 Å, c = 8.307 Å
α = 90.00°, β = 90.00°, γ = 90.00°
Atoms (fractional coordinates):
Ba 0.000 0.000 0.000
Sr 0.000 0.000 0.500
Ir 0.500 0.500 0.267
Ir 0.500 0.500 0.733
N 0.000 0.500 0.733
N 0.500 0.000 0.267

---

6.
Entry from OQMD via LeMat-Bulk: a relaxed BaSr2GePd crystal (PBE-GGA).

calculated density = 4.78 g cm⁻³
V = 34.18 Å³/atom
crystal system = tetragonal
total DFT energy (no corrections) = -0.126 hartree per atom
SG = I4mm (107)

a = 5.262 Å, b = 5.262 Å, c = 12.346 Å
α = 90.00°, β = 90.00°, γ = 90.00°
Atoms (fractional coordinates):
Ba 0.000 0.000 0.000
Ba 0.500 0.500 0.500
Sr 0.000 0.500 0.257
Sr 0.000 0.500 0.757
Sr 0.500 0.000 0.257
Sr 0.500 0.000 0.757
Ge 0.000 0.000 0.413
Ge 0.500 0.500 0.913
Pd 0.000 0.000 0.616
Pd 0.500 0.500 0.116

---

7.
Entry from OQMD via LeMat-Bulk: a relaxed HoAlGaNi crystal (PBE-GGA).

calculated density = 7.63 g cm⁻³
V = 17.43 Å³/atom
crystal system = orthorhombic
SG = Amm2 (38)
polymorph energy (0 for the lowest one) = 0.02 eV per formula unit

a = 6.811 Å, b = 4.062 Å, c = 10.077 Å
α = 90.00°, β = 90.00°, γ = 90.00°
Atoms (fractional coordinates):
Ho 0.000 0.000 0.000
Ho 0.000 0.500 0.500
Ho 0.500 0.000 0.130
Ho 0.500 0.500 0.630
Al 0.304 0.000 0.410
Al 0.304 0.500 0.910
Al 0.696 0.000 0.410
Al 0.696 0.500 0.910
Ga 0.197 0.000 0.713
Ga 0.197 0.500 0.213
Ga 0.803 0.000 0.713
Ga 0.803 0.500 0.213
Ni 0.000 0.000 0.282
Ni 0.000 0.500 0.782
Ni 0.500 0.000 0.854
Ni 0.500 0.500 0.354

---

8.
Entry from OQMD via LeMat-Bulk: a relaxed TmMg12 crystal (PBE-GGA).

calculated density = 2.49 g cm⁻³
V = 23.64 Å³/atom
crystal system = tetragonal
total DFT energy (no corrections) = -0.065 hartree per atom
SG = I4/mmm (139)

a = 7.808 Å, b = 7.808 Å, c = 7.808 Å
α = 98.13°, β = 98.13°, γ = 135.83°
Atoms (fractional coordinates):
Tm 0.000 0.000 0.000
Mg 0.000 0.000 0.500
Mg 0.000 0.350 0.350
Mg 0.000 0.500 0.000
Mg 0.000 0.650 0.650
Mg 0.290 0.500 0.790
Mg 0.350 0.000 0.350
Mg 0.500 0.000 0.000
Mg 0.500 0.290 0.790
Mg 0.500 0.500 0.500
Mg 0.500 0.710 0.210
Mg 0.650 0.000 0.650
Mg 0.710 0.500 0.210